{
  "formula": "ThVAs2",
  "functional": "PBE-GGA",
  "state": "relaxed",
  "total_energy_ev_per_atom": -7.2685,
  "m_tot_mub_per_fu": 2.38,
  "formation_energy_ev_per_atom": -0.809,
  "lattice": [[4.0994, 0.0000, 0.0000], [2.0497, 3.5502, 0.0000], [2.0497, 1.1834, 5.9726]],
  "species": ["Th", "As", "As", "V"],
  "frac_coords": [[0.5000, 0.5000, 0.5000], [0.7341, 0.7341, 0.7978], [0.2659, 0.2659, 0.2022], [0.0000, 0.0000, 0.0000]]
}

---

{
  "formula": "AsIr2",
  "functional": "PBE-GGA",
  "state": "relaxed",
  "total_energy_ev_per_atom": -7.3391,
  "m_tot_mub_per_fu": 0.00,
  "formation_energy_ev_per_atom": 0.118,
  "lattice": [[1.4483, 5.5079, 0.0215], [-1.4483, 5.5079, 0.0215], [0.0000, 1.5991, 5.9608]],
  "species": ["As", "As", "Ir", "Ir", "Ir", "Ir"],
  "frac_coords": [[0.6768, 0.6768, 0.6796], [0.9476, 0.9476, 0.0382], [0.0575, 0.0575, 0.3185], [0.7331, 0.7331, 0.0273], [0.4483, 0.4483, 0.7091], [0.3034, 0.3034, 0.3941]]
}

---

{
  "formula": "CsNp2AgS4",
  "functional": "PBE-GGA",
  "state": "relaxed",
  "total_energy_ev_per_atom": -6.8882,
  "m_tot_mub_per_fu": 8.00,
  "raw_formation_energy_ev_per_atom": -1.13,
  "lattice": [[4.1481, 0.0000, 0.0000], [-2.0741, 6.9911, 0.0000], [0.0000, 0.0000, 14.2678]],
  "species": ["Ag", "Ag", "S", "S", "S", "S", "S", "S", "S", "S", "Np", "Np", "Np", "Np", "Cs", "Cs"],
  "frac_coords": [[0.8319, 0.6637, 0.7500], [0.1681, 0.3363, 0.2500], [0.2562, 0.5124, 0.0964], [0.5707, 0.1413, 0.2500], [0.7438, 0.4876, 0.5964], [0.4293, 0.8587, 0.7500], [0.0000, 0.0000, 0.5000], [0.0000, 0.0000, 0.0000], [0.2562, 0.5124, 0.4036], [0.7438, 0.4876, 0.9036], [0.6302, 0.2605, 0.0603], [0.3698, 0.7395, 0.5603], [0.6302, 0.2605, 0.4397], [0.3698, 0.7395, 0.9397], [0.8884, 0.7767, 0.2500], [0.1116, 0.2233, 0.7500]]
}

---

{
  "formula": "Ti3Be2Zn3",
  "functional": "PBE-GGA",
  "state": "relaxed",
  "total_energy_ev_per_atom": -4.4961,
  "m_tot_mub_per_fu": 0.00,
  "formation_energy_ev_per_atom": -0.126,
  "lattice": [[3.3336, 0.0000, 0.0000], [0.0000, 5.4012, -3.1184], [0.0000, 0.0000, 6.2368]],
  "species": ["Ti", "Ti", "Ti", "Zn", "Zn", "Zn", "Be", "Be"],
  "frac_coords": [[0.5000, 0.4042, 0.4042], [0.5000, 0.5958, 0.0000], [0.5000, 0.0000, 0.5958], [0.0000, 0.2467, 0.0000], [0.0000, 0.0000, 0.2467], [0.0000, 0.7533, 0.7533], [0.0000, 0.3333, 0.6667], [0.0000, 0.6667, 0.3333]]
}